Entry 1:
# Al2TcBr GGA-PBE optimized geometry
# Distance to the lowest polymorph of the same formula (eV per atom): 0.743
# Formation energy from raw total energies (eV/atom): 0.518
data_Al2TcBr
_chemical_formula_sum 'Al8 Tc4 Br4'
_cell_length_a 7.272
_cell_length_b 7.272
_cell_length_c 5.731
_cell_angle_alpha 90.00
_cell_angle_beta 90.00
_cell_angle_gamma 90.00
_symmetry_space_group_name_H-M 'I -4 2 d'
_symmetry_Int_Tables_number 122
_symmetry_space_group_name_Hall 'I -4 2bw'
loop_
_atom_site_label
_atom_site_type_symbol
_atom_site_fract_x
_atom_site_fract_y
_atom_site_fract_z
Al1 Al 0.221 0.750 0.125
Tc1 Tc 0.000 0.000 0.000
Br1 Br 0.000 0.000 0.500

---

Entry 2:
# Hf6BiAs GGA-PBE optimized geometry
# DFT formation energy (eV/atom): -0.04
data_Hf6BiAs
_chemical_formula_sum 'Hf18 Bi3 As3'
_cell_length_a 9.5494
_cell_length_b 9.5494
_cell_length_c 7.1526
_cell_angle_alpha 90.00
_cell_angle_beta 90.00
_cell_angle_gamma 120.00
_symmetry_space_group_name_H-M 'R -3 m'
_symmetry_Int_Tables_number 166
_symmetry_space_group_name_Hall '-R 3 2"'
loop_
_atom_site_label
_atom_site_type_symbol
_atom_site_fract_x
_atom_site_fract_y
_atom_site_fract_z
Hf1 Hf 0.0365 0.5182 0.2944
Bi1 Bi 0.0000 0.0000 0.0000
As1 As 0.0000 0.0000 0.5000

---

Entry 3:
# LiScTc2 GGA-PBE optimized geometry
# Distance to the lowest polymorph of the same formula (eV per atom): 0.126
# DFT formation energy (eV/atom): 0.08
data_LiScTc2
_chemical_formula_sum 'Li1 Sc1 Tc2'
_cell_length_a 2.861
_cell_length_b 4.275
_cell_length_c 5.361
_cell_angle_alpha 90.00
_cell_angle_beta 102.24
_cell_angle_gamma 90.00
_symmetry_space_group_name_H-M 'P 1 m 1'
_symmetry_Int_Tables_number 6
_symmetry_space_group_name_Hall 'P -2y'
loop_
_atom_site_label
_atom_site_type_symbol
_atom_site_fract_x
_atom_site_fract_y
_atom_site_fract_z
Li1 Li 0.000 0.000 0.000
Sc1 Sc 0.692 0.500 0.253
Tc1 Tc 0.164 0.500 0.720
Tc2 Tc 0.419 0.000 0.546

---

Entry 4:
# HfTcI2N GGA-PBE optimized geometry
# Distance to the lowest polymorph of the same formula (eV per atom): 0.000
# Formation energy from raw total energies (eV/atom): 0.612
data_HfTcI2N
_chemical_formula_sum 'Hf1 Tc1 I2 N1'
_cell_length_a 5.868
_cell_length_b 5.868
_cell_length_c 3.952
_cell_angle_alpha 90.00
_cell_angle_beta 90.00
_cell_angle_gamma 90.00
_symmetry_space_group_name_H-M 'P 4/m m m'
_symmetry_Int_Tables_number 123
_symmetry_space_group_name_Hall '-P 4 2'
loop_
_atom_site_label
_atom_site_type_symbol
_atom_site_fract_x
_atom_site_fract_y
_atom_site_fract_z
Hf1 Hf 0.000 0.000 0.000
Tc1 Tc 0.500 0.500 0.500
I1 I 0.000 0.500 0.000
N1 N 0.000 0.000 0.500

---

Entry 5:
# Cs2TaSiCl6 GGA-PBE optimized geometry
# Formation energy from raw total energies (eV/atom): -1.108
data_Cs2TaSiCl6
_chemical_formula_sum 'Cs4 Ta2 Si2 Cl12'
_cell_length_a 7.209
_cell_length_b 7.209
_cell_length_c 12.366
_cell_angle_alpha 90.00
_cell_angle_beta 90.00
_cell_angle_gamma 90.00
_symmetry_space_group_name_H-M 'I 4/m m m'
_symmetry_Int_Tables_number 139
_symmetry_space_group_name_Hall '-I 4 2'
loop_
_atom_site_label
_atom_site_type_symbol
_atom_site_fract_x
_atom_site_fract_y
_atom_site_fract_z
Cs1 Cs 0.000 0.500 0.250
Ta1 Ta 0.000 0.000 0.000
Si1 Si 0.000 0.000 0.500
Cl1 Cl 0.000 0.000 0.200
Cl2 Cl 0.243 0.243 0.000

---

Entry 6:
# LiBiPb2 GGA-PBE optimized geometry
# DFT formation energy (eV/atom): -0.15
data_LiBiPb2
_chemical_formula_sum 'Li4 Bi4 Pb8'
_cell_length_a 4.818
_cell_length_b 4.818
_cell_length_c 19.143
_cell_angle_alpha 90.00
_cell_angle_beta 90.00
_cell_angle_gamma 90.00
_symmetry_space_group_name_H-M 'I 4/m m m'
_symmetry_Int_Tables_number 139
_symmetry_space_group_name_Hall '-I 4 2'
loop_
_atom_site_label
_atom_site_type_symbol
_atom_site_fract_x
_atom_site_fract_y
_atom_site_fract_z
Li1 Li 0.000 0.500 0.250
Bi1 Bi 0.000 0.000 0.147
Pb1 Pb 0.000 0.000 0.359
Pb2 Pb 0.000 0.500 0.000

---

Entry 7:
# AgTe2F GGA-PBE optimized geometry
# Distance to the lowest polymorph of the same formula (eV per atom): 0.000
# Formation energy from raw total energies (eV/atom): -0.349
data_AgTe2F
_chemical_formula_sum 'Ag4 Te8 F4'
_cell_length_a 6.873
_cell_length_b 6.873
_cell_length_c 6.873
_cell_angle_alpha 90.00
_cell_angle_beta 90.00
_cell_angle_gamma 90.00
_symmetry_space_group_name_H-M 'F m -3 m'
_symmetry_Int_Tables_number 225
_symmetry_space_group_name_Hall '-F 4 2 3'
loop_
_atom_site_label
_atom_site_type_symbol
_atom_site_fract_x
_atom_site_fract_y
_atom_site_fract_z
Ag1 Ag 0.000 0.000 0.000
Te1 Te 0.250 0.250 0.250
F1 F 0.000 0.000 0.500

---

Entry 8:
# ScRuAu2 GGA-PBE optimized geometry
# DFT formation energy (eV/atom): -0.23
data_ScRuAu2
_chemical_formula_sum 'Sc1 Ru1 Au2'
_cell_length_a 3.198
_cell_length_b 3.926
_cell_length_c 5.565
_cell_angle_alpha 90.00
_cell_angle_beta 90.00
_cell_angle_gamma 90.00
_symmetry_space_group_name_H-M 'P m m m'
_symmetry_Int_Tables_number 47
_symmetry_space_group_name_Hall '-P 2 2'
loop_
_atom_site_label
_atom_site_type_symbol
_atom_site_fract_x
_atom_site_fract_y
_atom_site_fract_z
Sc1 Sc 0.000 0.000 0.000
Ru1 Ru 0.000 0.000 0.500
Au1 Au 0.500 0.500 0.255